1.
Mn2AgAs | PBE | optimized geometry

abc: 4.2327 4.2327 3.6052
angles: 89.95 89.95 89.32
Element x y z (fractional)
Ag  0.5000  0.0000  0.5000
As  0.0000  0.5000  0.5000
Mn  0.0000  0.0000  0.0000
Mn  0.5000  0.5000  0.0000

Output
DFT formation energy ... 0.193 eV per atom
Fermi-level density of states ... 3.8 states/eV/cell
DFT total energy ... -6.27 eV/atom

---

2.
TaBrCl2 | PBE | optimized geometry

abc: 3.1156 3.1156 8.5437
angles: 90.00 90.00 90.00
Element x y z (fractional)
Cl  0.0000  0.0000  0.9979
Cl  0.5000  0.5000  0.3185
Br  0.5000  0.5000  0.6880
Ta  0.0000  0.0000  0.4957

Output
Fermi-level density of states ... 2.0 states/eV/cell
Polymorph energy (0 for the lowest one) ... 784 meV/atom
Formation energy from raw total energies ... -0.211 eV/atom
DFT total energy ... -4.52 eV/atom

---

3.
BeTlCd4 | PBE | optimized geometry

abc: 5.8384 5.8384 5.8384
angles: 60.00 60.00 60.00
Element x y z (fractional)
Be  0.0000  0.0000  0.0000
Tl  0.7500  0.7500  0.7500
Cd  0.8768  0.3744  0.3744
Cd  0.3744  0.3744  0.8768
Cd  0.3744  0.8768  0.3744
Cd  0.3744  0.3744  0.3744

Output
DFT formation energy ... 0.428 eV per atom
Fermi-level density of states ... 2.5 states/eV/cell
DFT total energy ... -1.20 eV/atom

---

4.
CeTlBi2 | PBE | optimized geometry

abc: 4.9357 4.9357 7.3448
angles: 70.37 70.37 60.00
Element x y z (fractional)
Ce  0.6664  0.6664  0.0007
Tl  0.4957  0.4957  0.5130
Bi  0.0765  0.0765  0.7706
Bi  0.2614  0.2614  0.2157

Output
DFT formation energy ... -0.231 eV per atom
Fermi-level density of states ... 4.4 states/eV/cell
Polymorph energy (0 for the lowest one) ... 195 meV/atom
DFT total energy ... -4.25 eV/atom

---

5.
Y5Tm12Sc | PBE | optimized geometry

abc: 6.0870 6.0874 17.1298
angles: 86.60 83.19 60.00
Element x y z (fractional)
Y  0.5000  0.0000  0.5000
Y  0.1668  0.6663  0.5000
Y  0.8332  0.3337  0.5000
Y  0.6667  0.6667  0.0000
Y  0.3334  0.3333  0.0000
Tm  0.8898  0.0000  0.3303
Tm  0.1102  0.0000  0.6697
Tm  0.7252  0.0000  0.8352
Tm  0.2748  0.0000  0.1648
Tm  0.3842  0.6705  0.8353
Tm  0.9453  0.6705  0.1647
Tm  0.0547  0.3295  0.8353
Tm  0.6158  0.3295  0.1647
Tm  0.4431  0.3335  0.6705
Tm  0.7766  0.6665  0.6705
Tm  0.2234  0.3335  0.3295
Tm  0.5569  0.6665  0.3295
Sc  0.0000  0.0000  0.0000

Output
DFT formation energy ... 0.021 eV per atom
Fermi-level density of states ... 27.2 states/eV/cell
DFT total energy ... -5.11 eV/atom

---

6.
Tm3HCSe | PBE | optimized geometry

abc: 3.6424 7.7004 7.9397
angles: 102.85 90.00 90.00
Element x y z (fractional)
Tm  0.7500  0.8686  0.1410
Tm  0.2500  0.1314  0.8590
Tm  0.2500  0.7683  0.4668
Tm  0.7500  0.2317  0.5332
Tm  0.7500  0.4506  0.1593
Tm  0.2500  0.5494  0.8407
H  0.2500  0.0779  0.5791
H  0.7500  0.9221  0.4209
C  0.2500  0.6666  0.1582
C  0.7500  0.3334  0.8418
Se  0.2500  0.1732  0.2254
Se  0.7500  0.8268  0.7746

Output
Fermi-level density of states ... 5.6 states/eV/cell
DFT total energy ... -5.84 eV/atom

---

7.
K3Au2I8 | PBE | optimized geometry

abc: 7.7357 7.7357 11.7439
angles: 70.77 70.77 60.00
Element x y z (fractional)
K  0.0000  0.0000  0.0000
K  0.7939  0.7939  0.6183
K  0.2061  0.2061  0.3817
Au  0.6055  0.6055  0.1836
Au  0.3945  0.3945  0.8164
I  0.6872  0.6872  0.9383
I  0.3128  0.3128  0.0617
I  0.2074  0.7398  0.3130
I  0.7398  0.2074  0.3130
I  0.7398  0.7398  0.3130
I  0.2602  0.7926  0.6870
I  0.7926  0.2602  0.6870
I  0.2602  0.2602  0.6870

Output
Fermi-level density of states ... 8.9 states/eV/cell
Formation energy from raw total energies ... -0.580 eV/atom
DFT total energy ... -2.29 eV/atom

---

8.
Ac2SiAg2 | PBE | optimized geometry

abc: 4.4826 6.3165 11.0696
angles: 84.16 78.32 69.22
Element x y z (fractional)
Ac  0.6929  0.2466  0.3677
Ac  0.9112  0.2887  0.8888
Ac  0.3071  0.7534  0.6323
Ac  0.0888  0.7113  0.1112
Si  0.5875  0.1494  0.6755
Si  0.4125  0.8506  0.3245
Ag  0.0421  0.3248  0.5909
Ag  0.6278  0.8645  0.8800
Ag  0.9579  0.6752  0.4091
Ag  0.3722  0.1355  0.1200

Output
Fermi-level density of states ... 7.3 states/eV/cell
Formation energy from raw total energies ... -0.366 eV/atom
DFT total energy ... -4.23 eV/atom

---

9.
Eu2S3 | PBE | optimized geometry

abc: 7.1744 7.1729 7.8463
angles: 62.82 62.80 60.00
Element x y z (fractional)
Eu  0.3395  0.3395  0.9814
Eu  0.1501  0.1501  0.5497
Eu  0.9604  0.9604  0.1190
Eu  0.6501  0.6501  0.0498
S  0.7700  0.3633  0.8321
S  0.3636  0.0342  0.8319
S  0.0345  0.7700  0.8319
S  0.2653  0.5302  0.2682
S  0.9364  0.2656  0.2681
S  0.5302  0.9367  0.2679

Output
Fermi-level density of states ... 23.0 states/eV/cell
Formation energy from raw total energies ... -1.518 eV/atom
DFT total energy ... -8.10 eV/atom

---

10.
NiIr3Rh | PBE | optimized geometry

abc: 4.4128 4.4128 4.4128
angles: 90.00 90.00 90.00
Element x y z (fractional)
Ni  0.0000  0.0000  0.0000
Ir  0.0000  0.5000  0.0000
Ir  0.0000  0.0000  0.5000
Ir  0.5000  0.0000  0.0000
Rh  0.5000  0.5000  0.5000

Output
DFT formation energy ... 1.610 eV per atom
Fermi-level density of states ... 7.1 states/eV/cell
Polymorph energy (0 for the lowest one) ... 1498 meV/atom
DFT total energy ... -6.33 eV/atom

---

11.
AgPb2Br5 | PBE | optimized geometry

abc: 9.1060 9.1060 8.0688
angles: 85.28 85.28 47.28
Element x y z (fractional)
Ag  0.0000  0.5000  0.0000
Ag  0.5000  0.0000  0.5000
Pb  0.3416  0.8631  0.9421
Pb  0.6584  0.1369  0.0579
Pb  0.8631  0.3416  0.4421
Pb  0.1369  0.6584  0.5579
Br  0.3057  0.1409  0.1757
Br  0.0666  0.9334  0.2500
Br  0.6943  0.8591  0.8243
Br  0.5312  0.2941  0.4209
Br  0.2941  0.5312  0.9209
Br  0.4688  0.7059  0.5791
Br  0.7059  0.4688  0.0791
Br  0.8591  0.6943  0.3243
Br  0.1409  0.3057  0.6757
Br  0.9334  0.0666  0.7500

Output
Fermi-level density of states ... 0.0 states/eV/cell
Polymorph energy (0 for the lowest one) ... 0 meV/atom
Formation energy from raw total energies ... -0.744 eV/atom
DFT total energy ... -3.07 eV/atom

---

12.
Cd5HgAu4 | PBE | optimized geometry

abc: 3.3988 3.3988 17.5307
angles: 90.00 90.00 90.00
Element x y z (fractional)
Cd  0.5000  0.5000  0.1164
Cd  0.5000  0.5000  0.3085
Cd  0.5000  0.5000  0.5000
Cd  0.5000  0.5000  0.6915
Cd  0.5000  0.5000  0.8836
Hg  0.0000  0.0000  0.0000
Au  0.0000  0.0000  0.2118
Au  0.0000  0.0000  0.4042
Au  0.0000  0.0000  0.5958
Au  0.0000  0.0000  0.7882

Output
DFT formation energy ... -0.128 eV per atom
Fermi-level density of states ... 2.7 states/eV/cell
DFT total energy ... -1.93 eV/atom

---

13.
Th2AlCo | PBE | optimized geometry

abc: 3.3185 3.3185 10.3151
angles: 80.74 80.74 60.00
Element x y z (fractional)
Co  0.0000  0.0000  0.0000
Al  0.5000  0.5000  0.5000
Th  0.0804  0.0804  0.7587
Th  0.9196  0.9196  0.2413

Output
DFT formation energy ... 0.406 eV per atom
Fermi-level density of states ... 4.3 states/eV/cell
Polymorph energy (0 for the lowest one) ... 619 meV/atom
DFT total energy ... -6.02 eV/atom

---

14.
SrVIr | PBE | optimized geometry

abc: 4.1338 4.1338 5.0456
angles: 90.00 90.00 120.00
Element x y z (fractional)
Sr  0.3333  0.6667  0.3058
Ir  0.0000  0.0000  0.8059
V  0.6667  0.3333  0.8058

Output
DFT formation energy ... 0.036 eV per atom
Fermi-level density of states ... 3.3 states/eV/cell
Polymorph energy (0 for the lowest one) ... 299 meV/atom
DFT total energy ... -6.52 eV/atom

---

15.
Tb2YHoTm6 | PBE | optimized geometry

abc: 9.4689 8.6887 8.6887
angles: 118.25 94.04 94.04
Element x y z (fractional)
Tb  0.4562  0.8048  0.6962
Tb  0.0438  0.3038  0.1952
Tb  0.5438  0.1952  0.3038
Tb  0.9562  0.6962  0.8048
Y  0.2500  0.9785  0.0215
Y  0.7500  0.0215  0.9785
Ho  0.2500  0.4086  0.5914
Ho  0.7500  0.5914  0.4086
Tm  0.0570  0.1276  0.7484
Tm  0.4430  0.2516  0.8724
Tm  0.9430  0.8724  0.2516
Tm  0.5570  0.7484  0.1276
Tm  0.3147  0.9780  0.4275
Tm  0.1853  0.5725  0.0220
Tm  0.6853  0.0220  0.5725
Tm  0.8147  0.4275  0.9780
Tm  0.1192  0.7109  0.4984
Tm  0.3808  0.5016  0.2891
Tm  0.8808  0.2891  0.5016
Tm  0.6192  0.4984  0.7109

Output
DFT formation energy ... 0.119 eV per atom
Fermi-level density of states ... 27.0 states/eV/cell
DFT total energy ... -4.59 eV/atom

---

16.
RbHfRhSe2 | PBE | optimized geometry

abc: 5.4348 4.6901 5.4348
angles: 90.00 90.00 90.00
Element x y z (fractional)
Rh  0.0000  0.0000  0.0000
Hf  0.0000  0.5000  0.0000
Se  0.0000  0.0000  0.5000
Se  0.5000  0.0000  0.0000
Rb  0.5000  0.5000  0.5000

Output
Fermi-level density of states ... 3.3 states/eV/cell
Formation energy from raw total energies ... 0.019 eV/atom
DFT total energy ... -5.03 eV/atom

---

17.
K2LiTa | PBE | optimized geometry

abc: 7.0259 7.0259 2.8800
angles: 90.00 90.00 120.61
Element x y z (fractional)
K  0.0000  0.0000  0.0000
K  0.5000  0.5000  0.0000
Li  0.5000  0.0000  0.5000
Ta  0.0000  0.5000  0.5000

Output
DFT formation energy ... 1.155 eV per atom
Fermi-level density of states ... 4.3 states/eV/cell
Polymorph energy (0 for the lowest one) ... 217 meV/atom
DFT total energy ... -2.84 eV/atom

---

18.
Ta2CrCu | PBE | optimized geometry

abc: 2.7514 2.7514 8.4855
angles: 90.00 90.00 107.77
Element x y z (fractional)
Cr  0.5000  0.5000  0.2500
Cu  0.5000  0.5000  0.7500
Ta  0.0000  0.0000  0.0064
Ta  0.0000  0.0000  0.4936

Output
DFT formation energy ... 0.149 eV per atom
Fermi-level density of states ... 2.9 states/eV/cell
DFT total energy ... -9.21 eV/atom

---

19.
IrWBr2 | PBE | optimized geometry

abc: 3.1526 3.1525 9.1238
angles: 90.00 90.00 124.24
Element x y z (fractional)
Ir  0.5000  0.5000  0.2500
Br  0.0000  0.0000  0.9881
Br  0.0000  0.0000  0.5119
W  0.5000  0.5000  0.7500

Output
Fermi-level density of states ... 4.5 states/eV/cell
Polymorph energy (0 for the lowest one) ... 1131 meV/atom
Formation energy from raw total energies ... 1.201 eV/atom
DFT total energy ... -5.09 eV/atom

---

20.
Pu2HRu | PBE | optimized geometry

abc: 3.2047 6.4542 7.7835
angles: 102.67 98.79 118.84
Element x y z (fractional)
Pu  0.3664  0.0252  0.2327
Pu  0.9211  0.4372  0.6053
Pu  0.7397  0.1223  0.8657
Pu  0.2944  0.5343  0.2382
H  0.6027  0.4379  0.0044
H  0.0581  0.1217  0.4665
Ru  0.7891  0.6788  0.9069
Ru  0.8718  0.8808  0.5640

Output
Fermi-level density of states ... 21.4 states/eV/cell
Polymorph energy (0 for the lowest one) ... 39 meV/atom
DFT total energy ... -10.40 eV/atom